{
  "formula": "La2Pd4Pt",
  "functional": "PBE",
  "state": "optimized geometry",
  "delta_e_f_mev_per_atom": -736.1,
  "sg": "P4_2/mnm, No. 136",
  "cell": [[5.047, 0.000, 0.000], [0.000, 7.739, 0.000], [0.000, 0.000, 7.739]],
  "species": ["Pd", "Pd", "Pd", "Pd", "Pd", "Pd", "Pd", "Pd", "La", "La", "La", "La", "Pt", "Pt"],
  "fractional_positions": [[0.000, 0.421, 0.152], [0.500, 0.079, 0.652], [0.500, 0.348, 0.921], [0.500, 0.921, 0.348], [0.000, 0.152, 0.421], [0.500, 0.652, 0.079], [0.000, 0.579, 0.848], [0.000, 0.848, 0.579], [0.000, 0.813, 0.187], [0.500, 0.313, 0.313], [0.500, 0.687, 0.687], [0.000, 0.187, 0.813], [0.500, 0.000, 0.000], [0.000, 0.500, 0.500]]
}